No. 1
DFT (PBE) results for a relaxed Ba12MgAu6 crystal.

Cell: 10.272 10.272 10.272 Å, 109.47 109.47 109.47°
Fractional positions:
Ba (0.131, 0.822, 0.309)
Ba (0.178, 0.309, 0.487)
Ba (0.178, 0.691, 0.869)
Ba (0.309, 0.131, 0.822)
Ba (0.309, 0.487, 0.178)
Ba (0.487, 0.178, 0.309)
Ba (0.513, 0.822, 0.691)
Ba (0.691, 0.513, 0.822)
Ba (0.691, 0.869, 0.178)
Ba (0.822, 0.309, 0.131)
Ba (0.822, 0.691, 0.513)
Ba (0.869, 0.178, 0.691)
Mg (0.000, 0.000, 0.000)
Au (0.125, 0.625, 0.500)
Au (0.375, 0.500, 0.875)
Au (0.500, 0.125, 0.625)
Au (0.500, 0.875, 0.375)
Au (0.625, 0.500, 0.125)
Au (0.875, 0.375, 0.500)

Computed properties:
* DFT formation energy: -456 meV per atom
* DOS at the Fermi energy: 1.251 states/eV/atom
* symmetry: Im-3, No. 204
* E: -52.99 eV/cell
* spin magnetization: 1.324 μB per formula unit



No. 2
DFT (PBE) results for a relaxed BaMg2Au crystal.

Cell: 6.504 6.504 5.813 Å, 116.19 116.19 31.61°
Fractional positions:
Ba (0.000, 0.000, 0.000)
Mg (0.200, 0.200, 0.697)
Mg (0.800, 0.800, 0.303)
Au (0.500, 0.500, 0.500)

Computed properties:
* DFT formation energy: -276 meV per atom
* DOS at the Fermi energy: 0.518 states/eV/atom
* symmetry: C2/m, No. 12
* E: -9.49 eV/cell
* spin magnetization: 0.000 μB per formula unit



No. 3
DFT (PBE) results for a relaxed BaMg3Au crystal.

Cell: 6.148 6.502 7.551 Å, 90.00 113.01 90.00°
Fractional positions:
Ba (0.206, 0.250, 0.151)
Ba (0.794, 0.750, 0.849)
Mg (0.235, 0.012, 0.698)
Mg (0.235, 0.488, 0.698)
Mg (0.304, 0.750, 0.376)
Mg (0.696, 0.250, 0.624)
Mg (0.765, 0.512, 0.302)
Mg (0.765, 0.988, 0.302)
Au (0.382, 0.750, 0.038)
Au (0.618, 0.250, 0.962)

Computed properties:
* DFT formation energy: -311 meV per atom
* DOS at the Fermi energy: 0.550 states/eV/atom
* symmetry: P2_1/m, No. 11
* excess energy over the best structure of this formula in the dataset: 0.000 eV/atom
* E: -23.08 eV/cell
* spin magnetization: 0.000 μB per formula unit



No. 4
DFT (PBE) results for a relaxed Ba7Mg2Au2 crystal.

Cell: 8.081 8.081 8.402 Å, 90.00 90.00 108.19°
Fractional positions:
Ba (0.000, 0.000, 0.000)
Ba (0.000, 0.500, 0.259)
Ba (0.000, 0.500, 0.741)
Ba (0.500, 0.000, 0.259)
Ba (0.500, 0.000, 0.741)
Ba (0.500, 0.500, 0.246)
Ba (0.500, 0.500, 0.754)
Mg (0.162, 0.162, 0.500)
Mg (0.838, 0.838, 0.500)
Au (0.291, 0.709, 0.000)
Au (0.709, 0.291, 0.000)

Computed properties:
* DFT formation energy: -221 meV per atom
* DOS at the Fermi energy: 1.431 states/eV/atom
* symmetry: Cmmm, No. 65
* E: -25.63 eV/cell
* spin magnetization: 0.000 μB per formula unit



No. 5
DFT (PBE) results for a relaxed Ba2Mg5Au3 crystal.

Cell: 14.458 14.458 7.789 Å, 90.00 90.00 161.17°
Fractional positions:
Ba (0.023, 0.977, 0.500)
Ba (0.323, 0.677, 0.449)
Ba (0.677, 0.323, 0.949)
Ba (0.977, 0.023, 0.000)
Mg (0.100, 0.900, 0.128)
Mg (0.208, 0.792, 0.637)
Mg (0.211, 0.789, 0.254)
Mg (0.367, 0.633, 0.960)
Mg (0.439, 0.561, 0.330)
Mg (0.561, 0.439, 0.830)
Mg (0.633, 0.367, 0.460)
Mg (0.789, 0.211, 0.754)
Mg (0.792, 0.208, 0.137)
Mg (0.900, 0.100, 0.628)
Au (0.114, 0.886, 0.750)
Au (0.268, 0.732, 0.945)
Au (0.447, 0.553, 0.698)
Au (0.553, 0.447, 0.198)
Au (0.732, 0.268, 0.445)
Au (0.886, 0.114, 0.250)

Computed properties:
* DFT formation energy: -452 meV per atom
* DOS at the Fermi energy: 0.598 states/eV/atom
* symmetry: Cmc2_1, No. 36
* E: -52.34 eV/cell
* spin magnetization: 0.000 μB per formula unit



No. 6
DFT (PBE) results for a relaxed BaMgAu2 crystal.

Cell: 5.282 5.282 5.282 Å, 60.00 60.00 60.00°
Fractional positions:
Ba (0.000, 0.000, 0.000)
Mg (0.250, 0.250, 0.250)
Au (0.500, 0.500, 0.500)
Au (0.750, 0.750, 0.750)

Computed properties:
* DFT formation energy: -287 meV per atom
* DOS at the Fermi energy: 0.182 states/eV/atom
* symmetry: F-43m, No. 216
* E: -11.22 eV/cell
* spin magnetization: 0.000 μB per formula unit